Entry 1:
The following is a DFT calculation (PBE) of a relaxed Cd2SbPt2 crystal.

Computed properties:
symmetry	P4/mbm (127)
ΔE to the lowest computed polymorph	0	meV per atom
DOS at the Fermi energy	3.33	states/eV/cell
E_form (uncorrected)	-1.11	eV per formula unit

abc: 7.134 7.134 3.949
angles: 90.00 90.00 90.00
Atoms (fractional coordinates):
1 Cd 0.154 0.346 0.000
2 Cd 0.346 0.846 0.000
3 Cd 0.654 0.154 0.000
4 Cd 0.846 0.654 0.000
5 Sb 0.000 0.000 0.500
6 Sb 0.500 0.500 0.500
7 Pt 0.144 0.644 0.500
8 Pt 0.356 0.144 0.500
9 Pt 0.644 0.856 0.500
10 Pt 0.856 0.356 0.500


Entry 2:
The following is a DFT calculation (PBE) of a relaxed KNiS3 crystal.

Computed properties:
symmetry	Pm-3m (221)
ΔE to the lowest computed polymorph	1899	meV per atom
DOS at the Fermi energy	23.61	states/eV/cell
E_form (uncorrected)	9.00	eV per formula unit

abc: 5.104 5.104 5.104
angles: 90.00 90.00 90.00
Atoms (fractional coordinates):
1 K 0.000 0.000 0.000
2 Ni 0.500 0.500 0.500
3 S 0.000 0.000 0.500
4 S 0.000 0.500 0.000
5 S 0.500 0.000 0.000


Entry 3:
The following is a DFT calculation (PBE) of a relaxed Y2ZrCl crystal.

Computed properties:
symmetry	Cm (8)
ΔE to the lowest computed polymorph	232	meV per atom
DOS at the Fermi energy	7.69	states/eV/cell
E_form (uncorrected)	-1.54	eV per formula unit

abc: 11.220 3.372 6.135
angles: 90.00 117.44 90.00
Atoms (fractional coordinates):
1 Y 0.000 0.000 0.000
2 Y 0.167 0.000 0.633
3 Y 0.500 0.500 0.000
4 Y 0.667 0.500 0.633
5 Zr 0.284 0.500 0.168
6 Zr 0.784 0.000 0.168
7 Cl 0.403 0.000 0.570
8 Cl 0.903 0.500 0.570


Entry 4:
The following is a DFT calculation (PBE) of a relaxed Tb2MnAl8 crystal.

Computed properties:
symmetry	P4/mmm (123)
DOS at the Fermi energy	6.28	states/eV/cell
calculated formation energy	-33.5	kJ/mol of atoms

abc: 4.246 4.246 11.310
angles: 90.00 90.00 90.00
Atoms (fractional coordinates):
1 Tb 0.000 0.000 0.192
2 Tb 0.000 0.000 0.808
3 Mn 0.000 0.000 0.500
4 Al 0.000 0.500 0.000
5 Al 0.000 0.500 0.383
6 Al 0.000 0.500 0.617
7 Al 0.500 0.000 0.000
8 Al 0.500 0.000 0.383
9 Al 0.500 0.000 0.617
10 Al 0.500 0.500 0.190
11 Al 0.500 0.500 0.810


Entry 5:
The following is a DFT calculation (PBE) of a relaxed SrInP2O crystal.

Computed properties:
symmetry	P4/mmm (123)
ΔE to the lowest computed polymorph	0	meV per atom
DOS at the Fermi energy	3.27	states/eV/cell
E_form (uncorrected)	-0.98	eV per formula unit

abc: 5.210 5.210 4.235
angles: 90.00 90.00 90.00
Atoms (fractional coordinates):
1 Sr 0.000 0.000 0.000
2 In 0.500 0.500 0.500
3 P 0.000 0.500 0.500
4 P 0.500 0.000 0.500
5 O 0.500 0.500 0.000


Entry 6:
The following is a DFT calculation (PBE) of a relaxed SbTe2Au crystal.

Computed properties:
symmetry	Pmmm (47)
DOS at the Fermi energy	1.67	states/eV/cell
E_form (uncorrected)	1.19	eV per formula unit

abc: 3.602 5.078 5.628
angles: 90.00 90.00 90.00
Atoms (fractional coordinates):
1 Sb 0.000 0.000 0.000
2 Te 0.000 0.500 0.500
3 Te 0.500 0.000 0.500
4 Au 0.500 0.500 0.000


Q: The lowest DOS at the Fermi energy belongs to which entry?
A: SbTe2Au